DFT (PBE-GGA) results for an optimized crystal structure of Al2TlCl8.

Values from the calculation:
space-group type	No. 12

a = 8.037 Å, b = 8.037 Å, c = 6.425 Å
α = 97.80°, β = 97.80°, γ = 70.02°
Atoms (fractional coordinates):
Al  0.198  0.198  0.158
Al  0.802  0.802  0.842
Tl  0.000  0.000  0.500
Cl  0.073  0.699  0.747
Cl  0.188  0.188  0.815
Cl  0.301  0.927  0.253
Cl  0.356  0.356  0.290
Cl  0.644  0.644  0.710
Cl  0.699  0.073  0.747
Cl  0.812  0.812  0.185
Cl  0.927  0.301  0.253

DFT (PBE-GGA) results for an optimized crystal structure of AlTlCl.

Values from the calculation:
energy relative to the lowest polymorph listed for this composition	205	meV per atom
space-group type	No. 187

a = 5.040 Å, b = 5.040 Å, c = 3.455 Å
α = 90.00°, β = 90.00°, γ = 120.00°
Atoms (fractional coordinates):
Al  0.000  0.000  0.000
Tl  0.333  0.667  0.500
Cl  0.667  0.333  0.000

DFT (PBE-GGA) results for an optimized crystal structure of AlTlCl2.

Values from the calculation:
energy relative to the lowest polymorph listed for this composition	222	meV per atom
space-group type	No. 71

a = 5.573 Å, b = 5.573 Å, c = 5.573 Å
α = 131.52°, β = 113.81°, γ = 86.18°
Atoms (fractional coordinates):
Al  0.000  0.000  0.000
Tl  0.500  0.500  0.000
Cl  0.222  0.722  0.500
Cl  0.778  0.278  0.500

DFT (PBE-GGA) results for an optimized crystal structure of Al2Tl2Cl.

Values from the calculation:
energy relative to the lowest polymorph listed for this composition	0	meV per atom
space-group type	No. 139

a = 9.295 Å, b = 9.295 Å, c = 9.295 Å
α = 155.61°, β = 155.61°, γ = 34.76°
Atoms (fractional coordinates):
Al  0.250  0.750  0.500
Al  0.750  0.250  0.500
Tl  0.093  0.093  0.000
Tl  0.907  0.907  0.000
Cl  0.500  0.500  0.000

DFT (PBE-GGA) results for an optimized crystal structure of AlTl2Cl.

Values from the calculation:
energy relative to the lowest polymorph listed for this composition	33	meV per atom
space-group type	No. 8

a = 6.064 Å, b = 6.064 Å, c = 5.201 Å
α = 90.03°, β = 90.03°, γ = 34.39°
Atoms (fractional coordinates):
Al  0.000  0.000  0.000
Tl  0.264  0.264  0.998
Tl  0.515  0.515  0.500
Cl  0.773  0.773  0.498

DFT (PBE-GGA) results for an optimized crystal structure of AlTlCl2.

Values from the calculation:
energy relative to the lowest polymorph listed for this composition	172	meV per atom
space-group type	No. 166

a = 7.693 Å, b = 7.693 Å, c = 7.693 Å
α = 33.74°, β = 33.74°, γ = 33.74°
Atoms (fractional coordinates):
Al  0.000  0.000  0.000
Tl  0.500  0.500  0.500
Cl  0.257  0.257  0.257
Cl  0.743  0.743  0.743

DFT (PBE-GGA) results for an optimized crystal structure of Al2Tl2Cl.

Values from the calculation:
energy relative to the lowest polymorph listed for this composition	72	meV per atom
space-group type	No. 127

a = 8.472 Å, b = 8.472 Å, c = 3.666 Å
α = 90.00°, β = 90.00°, γ = 90.00°
Atoms (fractional coordinates):
Al  0.110  0.390  0.000
Al  0.390  0.890  0.000
Al  0.610  0.110  0.000
Al  0.890  0.610  0.000
Tl  0.193  0.693  0.500
Tl  0.307  0.193  0.500
Tl  0.693  0.807  0.500
Tl  0.807  0.307  0.500
Cl  0.000  0.000  0.500
Cl  0.500  0.500  0.500

DFT (PBE-GGA) results for an optimized crystal structure of AlTlCl3.

Values from the calculation:
space-group type	No. 12

a = 8.924 Å, b = 8.924 Å, c = 9.411 Å
α = 121.75°, β = 121.75°, γ = 33.27°
Atoms (fractional coordinates):
Al  0.000  0.000  0.137
Al  0.000  0.000  0.863
Tl  0.309  0.309  0.808
Tl  0.691  0.691  0.192
Cl  0.140  0.140  0.378
Cl  0.141  0.141  0.904
Cl  0.500  0.500  0.180
Cl  0.500  0.500  0.820
Cl  0.859  0.859  0.096
Cl  0.860  0.860  0.622

DFT (PBE-GGA) results for an optimized crystal structure of AlTlCl.

Values from the calculation:
energy relative to the lowest polymorph listed for this composition	0	meV per atom
space-group type	No. 156

a = 3.385 Å, b = 3.385 Å, c = 7.701 Å
α = 90.00°, β = 90.00°, γ = 120.00°
Atoms (fractional coordinates):
Al  0.000  0.000  0.000
Tl  0.333  0.667  0.669
Cl  0.667  0.333  0.219

DFT (PBE-GGA) results for an optimized crystal structure of AlTlCl2.

Values from the calculation:
energy relative to the lowest polymorph listed for this composition	234	meV per atom
space-group type	No. 122

a = 8.577 Å, b = 8.577 Å, c = 8.577 Å
α = 132.51°, β = 132.51°, γ = 69.43°
Atoms (fractional coordinates):
Al  0.000  0.000  0.000
Al  0.750  0.250  0.500
Tl  0.250  0.750  0.500
Tl  0.500  0.500  0.000
Cl  0.095  0.625  0.970
Cl  0.375  0.345  0.470
Cl  0.655  0.125  0.030
Cl  0.875  0.905  0.530

DFT (PBE-GGA) results for an optimized crystal structure of AlTl2Cl.

Values from the calculation:
energy relative to the lowest polymorph listed for this composition	114	meV per atom
space-group type	No. 65

a = 3.458 Å, b = 3.458 Å, c = 9.308 Å
α = 90.00°, β = 90.00°, γ = 104.80°
Atoms (fractional coordinates):
Al  0.000  0.000  0.000
Tl  0.500  0.500  0.259
Tl  0.500  0.500  0.741
Cl  0.000  0.000  0.500

DFT (PBE-GGA) results for an optimized crystal structure of AlTlCl.

Values from the calculation:
energy relative to the lowest polymorph listed for this composition	165	meV per atom
space-group type	No. 107

a = 7.517 Å, b = 7.517 Å, c = 7.517 Å
α = 154.76°, β = 154.76°, γ = 36.00°
Atoms (fractional coordinates):
Al  0.000  0.000  0.000
Tl  0.330  0.330  0.000
Cl  0.609  0.609  0.000

DFT (PBE-GGA) results for an optimized crystal structure of AlTl2Cl.

Values from the calculation:
energy relative to the lowest polymorph listed for this composition	26	meV per atom
space-group type	No. 35

a = 3.467 Å, b = 3.467 Å, c = 10.447 Å
α = 90.00°, β = 90.00°, γ = 120.39°
Atoms (fractional coordinates):
Al  0.000  0.000  0.000
Tl  0.000  0.000  0.475
Tl  0.500  0.500  0.760
Cl  0.500  0.500  0.171

DFT (PBE-GGA) results for an optimized crystal structure of AlTlCl3.

Values from the calculation:
space-group type	No. 221

a = 5.496 Å, b = 5.496 Å, c = 5.496 Å
α = 90.00°, β = 90.00°, γ = 90.00°
Atoms (fractional coordinates):
Al  0.000  0.000  0.000
Tl  0.500  0.500  0.500
Cl  0.000  0.500  0.500
Cl  0.500  0.000  0.500
Cl  0.500  0.500  0.000

DFT (PBE-GGA) results for an optimized crystal structure of AlTlCl4.

Values from the calculation:
energy relative to the lowest polymorph listed for this composition	4	meV per atom
space-group type	No. 15

a = 6.471 Å, b = 6.471 Å, c = 10.783 Å
α = 97.14°, β = 97.14°, γ = 70.14°
Atoms (fractional coordinates):
Al  0.144  0.856  0.750
Al  0.856  0.144  0.250
Tl  0.000  0.500  0.000
Tl  0.500  0.000  0.500
Cl  0.143  0.188  0.737
Cl  0.188  0.143  0.237
Cl  0.270  0.662  0.582
Cl  0.338  0.730  0.918
Cl  0.662  0.270  0.082
Cl  0.730  0.338  0.418
Cl  0.812  0.857  0.763
Cl  0.857  0.812  0.263

DFT (PBE-GGA) results for an optimized crystal structure of AlTlCl2.

Values from the calculation:
energy relative to the lowest polymorph listed for this composition	270	meV per atom
space-group type	No. 119

a = 6.948 Å, b = 6.948 Å, c = 6.948 Å
α = 143.85°, β = 143.85°, γ = 52.05°
Atoms (fractional coordinates):
Al  0.000  0.000  0.000
Tl  0.750  0.250  0.500
Cl  0.250  0.750  0.500
Cl  0.500  0.500  0.000

DFT (PBE-GGA) results for an optimized crystal structure of AlTl2Cl.

Values from the calculation:
energy relative to the lowest polymorph listed for this composition	0	meV per atom
space-group type	No. 160

a = 10.257 Å, b = 10.257 Å, c = 10.257 Å
α = 19.55°, β = 19.55°, γ = 19.55°
Atoms (fractional coordinates):
Al  0.000  0.000  0.000
Tl  0.257  0.257  0.257
Tl  0.493  0.493  0.493
Cl  0.723  0.723  0.723

DFT (PBE-GGA) results for an optimized crystal structure of AlTlCl2.

Values from the calculation:
energy relative to the lowest polymorph listed for this composition	217	meV per atom
space-group type	No. 65

a = 3.768 Å, b = 3.768 Å, c = 7.558 Å
α = 90.00°, β = 90.00°, γ = 90.35°
Atoms (fractional coordinates):
Al  0.000  0.000  0.000
Tl  0.000  0.000  0.500
Cl  0.500  0.500  0.237
Cl  0.500  0.500  0.763

DFT (PBE-GGA) results for an optimized crystal structure of AlTlCl2.

Values from the calculation:
energy relative to the lowest polymorph listed for this composition	158	meV per atom
space-group type	No. 44

a = 7.301 Å, b = 7.301 Å, c = 7.301 Å
α = 152.12°, β = 140.46°, γ = 49.07°
Atoms (fractional coordinates):
Al  0.000  0.000  0.000
Tl  0.804  0.304  0.500
Cl  0.133  0.633  0.500
Cl  0.451  0.451  0.000

DFT (PBE-GGA) results for an optimized crystal structure of AlTlCl4.

Values from the calculation:
energy relative to the lowest polymorph listed for this composition	1480	meV per atom
space-group type	No. 216

a = 6.155 Å, b = 6.155 Å, c = 6.155 Å
α = 60.00°, β = 60.00°, γ = 60.00°
Atoms (fractional coordinates):
Al  0.000  0.000  0.000
Tl  0.250  0.250  0.250
Cl  0.124  0.625  0.625
Cl  0.625  0.124  0.625
Cl  0.625  0.625  0.124
Cl  0.625  0.625  0.625

DFT (PBE-GGA) results for an optimized crystal structure of AlTlCl.

Values from the calculation:
energy relative to the lowest polymorph listed for this composition	45	meV per atom
space-group type	No. 42

a = 8.410 Å, b = 7.960 Å, c = 3.567 Å
α = 84.58°, β = 70.44°, γ = 24.98°
Atoms (fractional coordinates):
Al  0.000  0.000  0.000
Tl  0.330  0.330  0.670
Cl  0.615  0.615  0.385

DFT (PBE-GGA) results for an optimized crystal structure of AlTl2Cl.

Values from the calculation:
energy relative to the lowest polymorph listed for this composition	115	meV per atom
space-group type	No. 119

a = 6.532 Å, b = 6.532 Å, c = 6.532 Å
α = 140.35°, β = 140.35°, γ = 57.33°
Atoms (fractional coordinates):
Al  0.000  0.000  0.000
Tl  0.500  0.500  0.000
Tl  0.750  0.250  0.500
Cl  0.250  0.750  0.500

DFT (PBE-GGA) results for an optimized crystal structure of AlTl4Cl.

Values from the calculation:
space-group type	No. 216

a = 6.416 Å, b = 6.416 Å, c = 6.416 Å
α = 60.00°, β = 60.00°, γ = 60.00°
Atoms (fractional coordinates):
Al  0.000  0.000  0.000
Tl  0.375  0.375  0.375
Tl  0.375  0.375  0.876
Tl  0.375  0.876  0.375
Tl  0.876  0.375  0.375
Cl  0.750  0.750  0.750

DFT (PBE-GGA) results for an optimized crystal structure of AlTlCl4.

Values from the calculation:
energy relative to the lowest polymorph listed for this composition	143	meV per atom
space-group type	No. 15

a = 8.132 Å, b = 8.132 Å, c = 6.733 Å
α = 104.26°, β = 104.26°, γ = 44.57°
Atoms (fractional coordinates):
Al  0.000  0.500  0.000
Al  0.500  0.000  0.500
Tl  0.184  0.816  0.750
Tl  0.816  0.184  0.250
Cl  0.142  0.256  0.670
Cl  0.256  0.142  0.170
Cl  0.271  0.516  0.063
Cl  0.484  0.729  0.437
Cl  0.516  0.271  0.563
Cl  0.729  0.484  0.937
Cl  0.744  0.858  0.830
Cl  0.858  0.744  0.330

DFT (PBE-GGA) results for an optimized crystal structure of AlTl2Cl.

Values from the calculation:
energy relative to the lowest polymorph listed for this composition	42	meV per atom
space-group type	No. 12

a = 5.685 Å, b = 5.685 Å, c = 3.382 Å
α = 99.18°, β = 99.18°, γ = 90.07°
Atoms (fractional coordinates):
Al  0.000  0.000  0.000
Tl  0.000  0.500  0.500
Tl  0.500  0.000  0.500
Cl  0.500  0.500  0.000

DFT (PBE-GGA) results for an optimized crystal structure of AlTlCl2.

Values from the calculation:
energy relative to the lowest polymorph listed for this composition	118	meV per atom
space-group type	No. 99

a = 4.160 Å, b = 4.160 Å, c = 6.610 Å
α = 90.00°, β = 90.00°, γ = 90.00°
Atoms (fractional coordinates):
Al  0.000  0.000  0.000
Tl  0.500  0.500  0.574
Cl  0.000  0.000  0.358
Cl  0.500  0.500  0.057

DFT (PBE-GGA) results for an optimized crystal structure of Al2TlCl7.

Values from the calculation:
space-group type	No. 65

a = 10.038 Å, b = 10.038 Å, c = 3.918 Å
α = 90.00°, β = 90.00°, γ = 134.03°
Atoms (fractional coordinates):
Al  0.128  0.872  0.000
Al  0.872  0.128  0.000
Tl  0.500  0.500  0.500
Cl  0.000  0.000  0.000
Cl  0.159  0.405  0.000
Cl  0.197  0.803  0.500
Cl  0.405  0.159  0.000
Cl  0.595  0.841  0.000
Cl  0.803  0.197  0.500
Cl  0.841  0.595  0.000

DFT (PBE-GGA) results for an optimized crystal structure of AlTl2Cl.

Values from the calculation:
energy relative to the lowest polymorph listed for this composition	95	meV per atom
space-group type	No. 166

a = 9.667 Å, b = 9.667 Å, c = 9.667 Å
α = 21.75°, β = 21.75°, γ = 21.75°
Atoms (fractional coordinates):
Al  0.000  0.000  0.000
Tl  0.247  0.247  0.247
Tl  0.753  0.753  0.753
Cl  0.500  0.500  0.500

no.,total DFT energy (no corrections) (eV/atom),uncorrected formation energy (meV per atom)
1,-3.529,-1291
2,-2.777,-126
3,-3.025,-574
4,-2.841,-28
5,-2.768,-188
6,-3.075,-624
7,-2.769,44
8,-3.465,-1135
9,-2.982,-330
10,-3.013,-562
11,-2.688,-107
12,-2.818,-166
13,-2.776,-195
14,-2.750,-420
15,-3.677,-1428
16,-2.977,-527
17,-2.801,-221
18,-3.030,-580
19,-3.089,-638
20,-2.202,47
21,-2.937,-285
22,-2.687,-106
23,-2.386,123
24,-3.539,-1290
25,-2.759,-179
26,-3.129,-678
27,-3.554,-1277
28,-2.707,-126